Entry 1:
# InAg2

A geometry-optimized InAg2 structure (PBE-GGA, Alexandria).

## Properties
The value obtained for the mass density is 9.29 g/cm³. For the total energy, the calculation gives -33.85 eV per cell. The formation energy is -7 meV per atom.

POSCAR file:
```
InAg2
1.0
10.993 0.000 0.000
0.000 3.090 0.000
-1.626 0.000 6.957
In Ag
4 8
Direct
0.000 0.000 0.000
0.184 0.500 0.365
0.500 0.500 0.000
0.684 0.000 0.365
0.125 0.500 0.743
0.284 0.000 0.075
0.345 0.000 0.682
0.458 0.500 0.407
0.625 0.000 0.743
0.784 0.500 0.075
0.845 0.500 0.682
0.958 0.000 0.407
```

Entry 2:
# U3Ge2Pt5

A geometry-optimized U3Ge2Pt5 structure (PBE-GGA, Alexandria).

## Properties
The value obtained for the mass density is 15.06 g/cm³. For the total energy, the calculation gives -154.41 eV per cell. The formation energy is -390 meV per atom.

POSCAR file:
```
U3Ge2Pt5
1.0
-5.766 6.226 2.818
5.766 -6.226 2.818
5.766 6.226 -2.818
U Ge Pt
6 4 10
Direct
0.200 0.608 0.809
0.250 0.250 0.000
0.300 0.108 0.408
0.700 0.892 0.592
0.750 0.750 0.000
0.800 0.392 0.191
0.157 0.867 0.024
0.343 0.367 0.710
0.657 0.633 0.290
0.843 0.133 0.976
0.150 0.359 0.510
0.250 0.009 0.759
0.250 0.491 0.241
0.250 0.750 0.500
0.350 0.859 0.209
0.650 0.141 0.791
0.750 0.250 0.500
0.750 0.509 0.759
0.750 0.991 0.241
0.850 0.641 0.490
```